# 1
First-principles (PBE) data for Zr2AgBr after structural relaxation, as listed in the Alexandria database.

For the raw total energy, the calculation gives -5.388 eV/atom.

The space group is Fm-3m (No. 225) and the conventional cell measures 6.911, 6.911 and 6.911 Å, with angles of 90.00, 90.00 and 90.00 degrees. The asymmetric unit holds Zr at (0.250, 0.250, 0.250), Ag at (0.000, 0.000, 0.000) and Br at (0.000, 0.000, 0.500).

---

# 2
First-principles (PBE) data for Zr2AgBr after structural relaxation, as listed in the Alexandria database.

For the raw total energy, the calculation gives -5.431 eV/atom.

The space group is Cmmm (No. 65) and the conventional cell measures 6.992, 7.374 and 3.169 Å, with angles of 90.00, 90.00 and 90.00 degrees. The asymmetric unit holds Zr at (0.250, 0.250, 0.000), Ag at (0.000, 0.000, 0.500) and Br at (0.000, 0.500, 0.500).

---

# 3
First-principles (PBE) data for ZrAgBr2 after structural relaxation, as listed in the Alexandria database.

For the raw total energy, the calculation gives -3.860 eV/atom.

The space group is C2/m (No. 12) and the conventional cell measures 6.707, 9.034 and 3.382 Å, with angles of 90.00, 114.41 and 90.00 degrees. The asymmetric unit holds Zr at (0.000, 0.000, 0.000), Ag at (0.000, 0.500, 0.000) and Br at (0.250, 0.250, 0.000).

---

# 4
First-principles (PBE) data for ZrAg2Br after structural relaxation, as listed in the Alexandria database.

For the raw total energy, the calculation gives -3.956 eV/atom.

The space group is Cmmm (No. 65) and the conventional cell measures 5.398, 10.091 and 3.173 Å, with angles of 90.00, 90.00 and 90.00 degrees. The asymmetric unit holds Zr at (0.000, 0.000, 0.000), Ag at (0.250, 0.250, 0.500) and Br at (0.000, 0.500, 0.000).

---

# 5
First-principles (PBE) data for ZrAgBr2 after structural relaxation, as listed in the Alexandria database.

For the raw total energy, the calculation gives -4.041 eV/atom.

The space group is Cmmm (No. 65) and the conventional cell measures 3.343, 6.136 and 10.994 Å, with angles of 90.00, 90.00 and 90.00 degrees. The asymmetric unit holds Zr at (0.000, 0.000, 0.000), Ag at (0.000, 0.000, 0.500) and Br at (0.000, 0.500, 0.194).

---

# 6
First-principles (PBE) data for ZrAg2Br after structural relaxation, as listed in the Alexandria database.

For the raw total energy, the calculation gives -4.196 eV/atom.

The space group is R3m (No. 160, hexagonal axes) and the conventional cell measures 3.2850, 3.2850 and 29.4127 Å, with angles of 90.00, 90.00 and 120.00 degrees. The asymmetric unit holds Zr at (0.0000, 0.0000, 0.0000), Ag at (0.0000, 0.0000, 0.2535), Ag at (0.0000, 0.0000, 0.5126) and Br at (0.0000, 0.0000, 0.7339).